## ReAsRu (PBE)

Data for a relaxed ReAsRu crystal.

Output
* total magnetization: 0.00 μB per atom
* final energy: -25.92 eV for the cell shown
* ΔE to the lowest computed polymorph: 15 meV/atom
* calculated formation energy: 0.151 eV per atom
* Fermi-level density of states: 1.99 states/eV/cell
* symmetry: P3m1, No. 156

abc: 2.862 2.862 6.247
angles: 90.00 90.00 120.00
Positions (direct):
Ru (0.667, 0.333, 0.669)
As (0.000, 0.000, 0.996)
Re (0.333, 0.667, 0.335)

=====

## Ho6Cd2Sn (PBE)

Data for a relaxed Ho6Cd2Sn crystal.

Output
* total magnetization: 0.00 μB per atom
* final energy: -71.02 eV for the cell shown
* calculated formation energy: -0.246 eV per atom
* Fermi-level density of states: 19.92 states/eV/cell
* symmetry: Immm, No. 71

abc: 8.740 8.740 8.740
angles: 109.89 110.89 107.64
Positions (direct):
Sn (0.000, 0.000, 0.000)
Sn (0.000, 0.500, 0.500)
Ho (0.798, 0.254, 0.052)
Ho (0.270, 0.946, 0.676)
Ho (0.730, 0.406, 0.676)
Ho (0.914, 0.735, 0.179)
Ho (0.556, 0.735, 0.821)
Ho (0.444, 0.265, 0.179)
Ho (0.730, 0.054, 0.324)
Ho (0.270, 0.594, 0.324)
Ho (0.798, 0.746, 0.545)
Ho (0.202, 0.746, 0.948)
Ho (0.202, 0.254, 0.455)
Ho (0.086, 0.265, 0.821)
Cd (0.641, 0.000, 0.641)
Cd (0.359, 0.000, 0.359)
Cd (0.500, 0.638, 0.138)
Cd (0.500, 0.362, 0.862)

=====

## PmPaCd4 (PBE)

Data for a relaxed PmPaCd4 crystal.

Output
* total magnetization: 0.25 μB per atom
* final energy: -18.03 eV for the cell shown
* calculated formation energy: -0.021 eV per atom
* Fermi-level density of states: 7.88 states/eV/cell
* symmetry: F-43m, No. 216

abc: 5.931 5.931 5.931
angles: 60.00 60.00 60.00
Each line ends with the local moment (μB).
Positions (direct):
Cd (0.125, 0.625, 0.625)  0.00
Cd (0.625, 0.125, 0.625)  0.00
Cd (0.625, 0.625, 0.625)  0.00
Cd (0.625, 0.625, 0.125)  0.00
Pa (0.250, 0.250, 0.250)  0.96
Pm (0.000, 0.000, 0.000)  0.19

=====

## MnGePHCN (PBE)

Data for a relaxed MnGePHCN crystal.

Output
* total magnetization: 0.00 μB per atom
* final energy: -76.84 eV for the cell shown
* ΔE to the lowest computed polymorph: 196 meV/atom
* Fermi-level density of states: 2.39 states/eV/cell
* symmetry: Cm, No. 8

abc: 6.911 2.748 9.435
angles: 90.00 132.66 90.00
Positions (direct):
Ge (0.306, 0.000, 0.167)
Ge (0.306, 0.500, 0.667)
P (0.712, 0.000, 0.551)
P (0.712, 0.500, 0.051)
C (0.021, 0.000, 0.370)
C (0.021, 0.500, 0.870)
N (0.540, 0.500, 0.521)
N (0.540, 0.000, 0.021)
H (0.870, 0.500, 0.878)
H (0.870, 0.000, 0.378)
Mn (0.146, 0.500, 0.319)
Mn (0.146, 0.000, 0.819)

=====

## Zn3CoAs (PBE)

Data for a relaxed Zn3CoAs crystal.

Output
* total magnetization: 0.03 μB per atom
* final energy: -12.80 eV for the cell shown
* ΔE to the lowest computed polymorph: 0 meV/atom
* calculated formation energy: 0.556 eV per atom
* Fermi-level density of states: 4.17 states/eV/cell
* symmetry: Pm-3m, No. 221

abc: 4.542 4.542 4.542
angles: 90.00 90.00 90.00
Each line ends with the local moment (μB).
Positions (direct):
As (0.500, 0.500, 0.500)  0.03
Zn (0.000, 0.500, 0.000)  -0.01
Zn (0.500, 0.000, 0.000)  -0.01
Zn (0.000, 0.000, 0.500)  -0.01
Co (0.000, 0.000, 0.000)  0.17

=====

## KZr2Os (PBE)

Data for a relaxed KZr2Os crystal.

Output
* total magnetization: 0.46 μB per atom
* final energy: -25.08 eV for the cell shown
* ΔE to the lowest computed polymorph: 918 meV/atom
* calculated formation energy: 1.086 eV per atom
* Fermi-level density of states: 5.72 states/eV/cell
* symmetry: F-43m, No. 216

abc: 4.973 4.973 4.973
angles: 60.00 60.00 60.00
Each line ends with the local moment (μB).
Positions (direct):
Zr (0.250, 0.250, 0.250)  0.84
Zr (0.000, 0.000, 0.000)  0.42
Os (0.750, 0.750, 0.750)  -0.11
K (0.500, 0.500, 0.500)  0.04

=====

The highest Fermi-level density of states belongs to which entry?
Ho6Cd2Sn

=====

total magnetization of number 4 (MnGePHCN)?
0.00 μB per atom